A relaxed structure of HgPSe2, computed with PBE.

Values from the calculation:
E, eV/atom: -2.81
Symmetry: I-4m2
Spin magnetization, μB per formula unit: 0.0
Formation energy without anion corrections, eV/atom: 0.362
Theoretical density, g cm⁻³: 5.6

a b c (Å): 8.8285 8.8285 8.8285
angles (deg): 155.73 155.73 34.60
With the nearest neighbours (Å) after each atom.
Sites, in units of the cell vectors:
P 0.7500 0.2500 0.5000  4 Se 2.63
Se 0.0000 0.0000 0.0000  4 Hg 2.63
Se 0.2500 0.7500 0.5000  4 P 2.63
Hg 0.5000 0.5000 0.0000  4 Se 2.63